[1]
A crystal of MnNiNF2 relaxed with PBEsol, computed with SCAN.

Calculated values
ρ = 5.2 g/cm3
size of the total moment = 2.953 Bohr magnetons per cell
uncorrected formation energy = -0.888 eV per atom
density of states at the Fermi level = 1.05 states/eV/f.u.
E above lowest polymorph = 0.000 eV per atom

```
MnNiNF2
1.0
3.740 0.000 0.000
0.000 3.740 0.000
0.000 0.000 3.803
Ni N Mn F
1 1 1 2
direct
0.000 0.000 0.000
0.000 0.000 0.500
0.500 0.500 0.500
0.000 0.500 0.000
0.500 0.000 0.000
```

---

[2]
A crystal of MnN2OF relaxed with PBEsol, computed with SCAN.

Calculated values
ρ = 4.0 g/cm3
size of the total moment = 2.145 Bohr magnetons per cell
uncorrected formation energy = 0.511 eV per atom
density of states at the Fermi level = 0.81 states/eV/f.u.

```
MnN2OF
1.0
-0.376 3.489 -0.496
-0.613 0.427 3.465
3.777 0.493 0.607
N Mn O F
2 1 1 1
direct
0.000 0.500 0.000
0.500 0.000 0.000
0.000 0.000 0.000
0.500 0.500 0.500
0.000 0.000 0.500
```

---

[3]
A crystal of MnOsN2F relaxed with PBEsol, computed with SCAN.

Calculated values
ρ = 9.7 g/cm3
size of the total moment = 4.030 Bohr magnetons per cell
uncorrected formation energy = 0.749 eV per atom
density of states at the Fermi level = 2.84 states/eV/f.u.

```
MnOsN2F
1.0
3.548 0.000 0.000
0.000 3.747 0.000
0.000 0.000 3.747
N Mn Os F
2 1 1 1
direct
0.000 0.000 0.500
0.000 0.500 0.000
0.000 0.000 0.000
0.500 0.500 0.500
0.500 0.000 0.000
```

---

> What is the ρ in the third record?

9.7 g/cm3